BeSb2Cl: optimized geometry, GGA-PBE.

Geometry as CIF:
```
data_BeSb2Cl
_chemical_formula_sum 'Be1 Sb2 Cl1'
_space_group_name_H-M_alt 'P 1'
_space_group_IT_number 1
_cell_length_a 3.450
_cell_length_b 3.450
_cell_length_c 9.004
_cell_angle_alpha 90.00
_cell_angle_beta 90.00
_cell_angle_gamma 90.00
loop_
_space_group_symop_operation_xyz
'x,y,z'
loop_
_atom_site_label
_atom_site_fract_x
_atom_site_fract_y
_atom_site_fract_z
Be1 0.000 0.000 0.000
Sb1 0.000 0.000 0.731
Sb2 0.500 0.500 0.085
Cl1 0.500 0.500 0.350
```

Total moment ... 0.000 μB per formula unit
Energy relative to the lowest polymorph listed for this composition ... 243 meV/atom
Raw formation energy ... 0.1003 eV/atom
N(E_F) ... 1.1 states/eV per cell
Electronic total energy ... -3.35 eV/atom